# 1
# MgMnGa4O8

A geometry-optimized MgMnGa4O8 structure (GGA+U, Alexandria).

## Properties
Space-group type: R3m (160)
Fermi-level density of states: 1.60 states/eV per cell
E_tot: -6.13 eV per atom

abc: 6.0039 6.0039 5.9770
angles: 59.85 59.85 60.00
Last column: nearest neighbours and their distance in Å.
Positions (direct):
O  0.7561  0.7561  0.2634  3 Ga 1.95-2.06, 1 Mn 2.08
O  0.2245  0.7561  0.2634  3 Ga 1.95-2.06, 1 Mn 2.08
O  0.7570  0.7570  0.7290  4 Ga 1.98-2.08
O  0.2430  0.7826  0.7314  1 Mg 1.99, 2 Ga 1.99, 1 Mn 2.05
O  0.7561  0.2245  0.2634  3 Ga 1.95-2.06, 1 Mn 2.08
O  0.2406  0.2406  0.2782  1 Mg 2.00, 3 Ga 2.02
O  0.7826  0.2430  0.7314  1 Mg 1.99, 2 Ga 1.99, 1 Mn 2.05
O  0.2430  0.2430  0.7314  1 Mg 1.99, 2 Ga 1.99, 1 Mn 2.05
Ga  0.0024  0.4923  0.5028  6 O 1.99-2.08
Ga  0.0024  0.0024  0.5028  6 O 1.99-2.08
Ga  0.6216  0.6216  0.1351  4 O 1.95-1.98
Ga  0.4923  0.0024  0.5028  6 O 1.99-2.08
Mg  0.3773  0.3773  0.8681  4 O 1.99-2.00
Mn  0.0011  0.0011  0.9967  6 O 2.05-2.08

***

# 2
# MgMn2GaO6

A geometry-optimized MgMn2GaO6 structure (GGA+U, Alexandria).

## Properties
Space-group type: P1 (1)
Fermi-level density of states: 0.76 states/eV per cell
E_tot: -6.73 eV per atom

abc: 5.0878 5.0130 5.4715
angles: 63.27 60.92 61.00
Last column: nearest neighbours and their distance in Å.
Positions (direct):
O  0.3944  0.7260  0.7496  2 Mn 1.95-2.04, 1 Mg 2.03, 1 Ga 2.08
O  0.2147  0.9281  0.2319  1 Ga 1.92, 2 Mn 1.99-2.11, 1 Mg 2.13
O  0.7367  0.1185  0.7626  1 Mn 1.91, 1 Mg 2.02, 1 Ga 2.04
O  0.1312  0.3921  0.7467  2 Mn 1.94-2.01, 1 Mg 2.06, 1 Ga 2.14
O  0.6131  0.2308  0.2400  2 Mn 1.96-2.00, 1 Ga 1.98
O  0.9141  0.6186  0.2402  1 Ga 1.98, 2 Mn 1.98-2.00, 1 Mg 2.17
Mg  0.8142  0.8053  0.5774  5 O 2.02-2.17
Mn  0.0117  0.0136  0.9598  6 O 1.91-2.00
Mn  0.5140  0.5181  0.4475  5 O 1.96-2.11
Ga  0.3174  0.3104  0.0596  6 O 1.92-2.14